MnInNi2: relaxed, PBEsol.

Formation enthalpy at 0 K in eV/atom: 0.095
Theoretical density in g cm⁻³: 9.04
Volume in Å³ per atom: 13.18
Space-group type: F-43m
Total magnetic moment in μB/f.u.: 3.63

Lattice parameters (Å, degrees): 5.952 5.952 5.952 90.00 90.00 90.00
Positions (direct):
Mn 0.000 0.000 0.000
Mn 0.000 0.500 0.500
Mn 0.500 0.000 0.500
Mn 0.500 0.500 0.000
In 0.250 0.250 0.250
In 0.250 0.750 0.750
In 0.750 0.250 0.750
In 0.750 0.750 0.250
Ni 0.000 0.000 0.500
Ni 0.000 0.500 0.000
Ni 0.250 0.250 0.750
Ni 0.250 0.750 0.250
Ni 0.500 0.000 0.000
Ni 0.500 0.500 0.500
Ni 0.750 0.250 0.250
Ni 0.750 0.750 0.750